Pm2Sm8Sc, optimized geometry, DFT PBE-GGA; energy of formation from the pure elements = 196 kJ/mol of formula units; SG = C2/m (12); D(E_F) = 1.465 states/eV per atom
1.0
5.7244 -0.4522 -0.3159
0.4017 9.7444 2.5362
0.4017 5.7348 8.2764
Sm Pm Sc
8 2 1
Cartesian
5.0742 12.3177 8.6042
1.8025 6.6323 2.6018
4.7624 6.6814 4.6671
1.8025 4.7253 5.3318
4.7252 10.3017 5.1650
1.4536 2.7093 1.8925
4.7252 8.3947 7.8949
1.7654 8.3456 5.8296
2.0742 10.9922 7.6783
4.4536 4.0348 2.8184
0.0000 0.0000 0.0000

LaDyHo2, optimized geometry, DFT PBE-GGA; energy of formation from the pure elements = 13 kJ/mol of formula units; SG = P4/mmm (123); D(E_F) = 1.637 states/eV per atom
1.0
3.5949 0.0000 0.0000
0.0000 3.5949 0.0000
0.0000 0.0000 10.1173
Ho La Dy
2 1 1
Cartesian
0.0000 0.0000 7.6648
0.0000 0.0000 2.4524
1.7975 1.7975 5.0586
1.7975 1.7975 0.0000

Ba2InPd3Au12, optimized geometry, DFT PBE-GGA; energy of formation from the pure elements = -54 kJ/mol of formula units; SG = R-3m (166); D(E_F) = 0.299 states/eV per atom
1.0
8.6408 -0.2505 -0.1777
4.0495 7.6373 -0.1777
4.0495 2.3571 7.2666
Pd Au In Ba
3 12 1 2
Cartesian
2.0247 3.8186 -0.0888
2.0247 1.1786 3.6333
4.3204 -0.1252 -0.0888
12.3270 7.1753 7.0276
4.1979 5.1758 0.7761
13.9176 6.2719 4.4486
10.1660 8.6498 6.1352
12.3270 9.0046 4.4486
4.4128 0.7393 2.4626
4.4128 2.5686 -0.1163
6.5737 1.0941 0.7761
12.5419 7.3004 2.2830
2.8222 3.4720 2.4626
12.5419 4.5681 6.1352
4.1979 2.4435 4.6283
0.0000 0.0000 0.0000
6.4869 3.7759 2.6782
10.2528 5.9680 4.2330

NdPuBi2O8, optimized geometry, DFT PBE-GGA; formation energy without anion corrections = -2.0863 eV per atom; SG = C2/m (12)
1.0
5.3337 -0.0107 -0.0480
0.0382 5.3294 0.0396
-0.0578 0.0700 7.1378
Pu O Bi Nd
1 8 2 1
Cartesian
0.0000 0.0000 0.0000
1.6629 1.7091 3.5664
1.0339 4.3263 1.7162
3.6512 3.6796 3.5630
0.9016 4.4667 5.6616
3.9486 4.0369 7.1314
1.3655 1.3518 -0.0020
4.4125 0.9221 1.4678
4.2802 1.0625 5.4133
2.7193 2.6346 5.2841
2.5948 2.7541 1.8453
-0.0289 0.0350 3.5689

Ba2LiHgPt, optimized geometry, DFT PBE-GGA; energy of formation from the pure elements = -252 kJ/mol of formula units; SG = P2_1/m (11); D(E_F) = 0.704 states/eV per atom
1.0
-1.4378 -2.4027 3.8537
7.7197 1.5147 3.8246
-5.6270 6.0400 1.6663
Pt Ba Hg Li
2 4 2 2
Cartesian
-0.7018 -1.1415 3.4426
1.3568 6.2935 5.9020
4.2147 -0.3700 5.7580
1.9876 3.4798 7.3272
-1.3326 1.6722 2.0174
-3.5598 5.5220 3.5867
-1.8756 2.7282 5.4173
2.5305 2.4238 3.9273
0.3359 0.7562 5.0129
0.3190 4.3958 4.3317

LiEr3Mg4, optimized geometry, DFT PBE-GGA; energy of formation from the pure elements = -43 kJ/mol of formula units; SG = P4/mmm (123); D(E_F) = 1.017 states/eV per atom
1.0
-1.8496 -1.7894 -2.6231
1.8059 -3.0897 0.8344
-10.7102 -3.5640 9.9834
Er Mg Li
3 4 1
Cartesian
-8.0900 -5.1244 6.6262
-2.6639 -3.3188 1.5684
-5.3770 -4.2216 4.0973
-6.7154 -2.2347 6.2597
-3.9948 -1.3293 3.7237
-1.1712 -0.3897 1.0917
-9.5390 -3.1743 8.8917
-0.0219 -2.4396 -0.8944

Number 1: total energy -4.6863 eV per atom. Number 2: total energy -4.6389 eV per atom. Number 3: total energy -3.4470 eV per atom. Number 4: total energy -7.6302 eV per atom. Number 5: total energy -2.9437 eV per atom. Number 6: total energy -2.8038 eV per atom.